Density functional theory data (PBE-GGA) for a geometry-optimized Ac3NdY2 structure.

Cell lengths 6.6035, 6.6035, 12.6136 Å; angles 110.49, 110.49, 70.21 degrees
Closest atoms and distances in Å follow each position.
Element x y z (fractional)
Ac: 0.1256 0.8744 0.7500  6 Y 3.79-3.82, 2 Nd 3.80, 4 Ac 3.81
Ac: 0.2083 0.4575 0.9162  5 Y 3.80-3.81, 3 Nd 3.80-3.81, 4 Ac 3.81-3.82
Ac: 0.4575 0.2083 0.4162  5 Y 3.80-3.81, 3 Nd 3.80-3.81, 4 Ac 3.81-3.82
Ac: 0.5425 0.7917 0.5838  5 Y 3.80-3.81, 3 Nd 3.80-3.81, 4 Ac 3.81-3.82
Ac: 0.7917 0.5425 0.0838  5 Y 3.80-3.81, 3 Nd 3.80-3.81, 4 Ac 3.81-3.82
Ac: 0.8744 0.1256 0.2500  6 Y 3.79-3.82, 2 Nd 3.80, 4 Ac 3.81
Nd: 0.3744 0.6256 0.2500  8 Ac 3.80-3.81, 4 Y 3.81-3.82
Nd: 0.6256 0.3744 0.7500  8 Ac 3.80-3.81, 4 Y 3.81-3.82
Y: 0.0414 0.2905 0.5824  8 Ac 3.79-3.82, 2 Y 3.79-3.81, 2 Nd 3.81-3.82
Y: 0.2905 0.0414 0.0824  8 Ac 3.79-3.82, 2 Y 3.79-3.81, 2 Nd 3.81-3.82
Y: 0.7095 0.9586 0.9176  8 Ac 3.79-3.82, 2 Y 3.79-3.81, 2 Nd 3.81-3.82
Y: 0.9586 0.7095 0.4176  8 Ac 3.79-3.82, 2 Y 3.79-3.81, 2 Nd 3.81-3.82

Symmetry ... C2/c, No. 15

***

Density functional theory data (PBE-GGA) for a geometry-optimized AcY2Ho2 structure.

Cell lengths 8.9974, 8.9974, 6.7394 Å; angles 99.33, 99.33, 135.87 degrees
Closest atoms and distances in Å follow each position.
Element x y z (fractional)
Ac: 0.1541 0.8459 0.7500  3 Ho 3.31-3.60, 4 Y 3.49-3.69
Ac: 0.8459 0.1541 0.2500  3 Ho 3.31-3.60, 4 Y 3.49-3.69
Y: 0.2171 0.2947 0.9968  2 Ho 3.34-3.58, 2 Ac 3.49-3.69, 6 Y 3.53-3.71
Y: 0.2947 0.2171 0.4968  2 Ho 3.34-3.58, 2 Ac 3.49-3.69, 6 Y 3.53-3.71
Y: 0.7053 0.7829 0.5032  2 Ho 3.34-3.58, 2 Ac 3.49-3.69, 6 Y 3.53-3.71
Y: 0.7829 0.7053 0.0032  2 Ho 3.34-3.58, 2 Ac 3.49-3.69, 6 Y 3.53-3.71
Ho: 0.2507 0.7493 0.2500  6 Ho 3.60-3.79, 4 Ac 3.73-3.74, 4 Y 3.94-3.97
Ho: 0.3527 0.6473 0.7500  3 Ac 3.31-3.60, 4 Y 3.34-3.58
Ho: 0.6473 0.3527 0.2500  3 Ac 3.31-3.60, 4 Y 3.34-3.58
Ho: 0.7493 0.2507 0.7500  6 Ho 3.60-3.79, 4 Ac 3.73-3.74, 4 Y 3.94-3.97

Energy relative to the lowest polymorph listed for this composition ... 0.00 eV/f.u.
Symmetry ... C2/c, No. 15

***

Q: Which energy of formation values were calculated for the entries above? A: 0.35 0.44, in eV/f.u..